No. 1
Computed, not measured: crystalline NaNdEr2 at its relaxed geometry at the PBE level of DFT.

a b c (Å): 3.5185 3.5185 38.1121
angles (deg): 90.00 90.00 120.00
Space group R-3m (No. 166, hexagonal axes)
Inequivalent atoms, fractional coordinates:
Na: 0.0000 0.0000 0.0000 [3 per cell]
Nd: 0.0000 0.0000 0.5000 [3 per cell]
Er: 0.0000 0.0000 0.0915 [6 per cell]

Properties
relative energy among the computed polymorphs	33	meV per atom
ΔH_f (0 K)	0.1935	eV per atom

---

No. 2
Computed, not measured: crystalline NaNdErPb at its relaxed geometry at the PBE level of DFT.

a b c (Å): 7.727 7.727 7.727
angles (deg): 90.00 90.00 90.00
Space group F-43m (No. 216)
Inequivalent atoms, fractional coordinates:
Na: 0.000 0.000 0.000 [4 per cell]
Nd: 0.250 0.250 0.750 [4 per cell]
Er: 0.250 0.250 0.250 [4 per cell]
Pb: 0.000 0.000 0.500 [4 per cell]

Properties
ΔH_f (0 K)	-0.1517	eV per atom

---

No. 3
Computed, not measured: crystalline NaNdEr2S4 at its relaxed geometry at the PBE level of DFT.

a b c (Å): 6.858 3.920 6.912
angles (deg): 90.00 108.91 90.00
Space group P2/m (No. 10)
Inequivalent atoms, fractional coordinates:
Na: 0.000 0.000 0.000 [1 per cell]
Nd: 0.500 0.500 0.000 [1 per cell]
Er: 0.000 0.500 0.500 [1 per cell]
Er: 0.500 0.000 0.500 [1 per cell]
S: 0.241 0.000 0.735 [2 per cell]
S: 0.254 0.500 0.266 [2 per cell]

Properties
ΔE_f (raw)	-1.915	eV/atom

---

No. 4
Computed, not measured: crystalline Na3NdEr2S6 at its relaxed geometry at the PBE level of DFT.

a b c (Å): 6.949 12.036 7.079
angles (deg): 90.00 109.12 90.00
Space group C2/m (No. 12)
Inequivalent atoms, fractional coordinates:
Na: 0.000 0.000 0.000 [2 per cell]
Na: 0.000 0.334 0.000 [4 per cell]
Nd: 0.000 0.500 0.500 [2 per cell]
Er: 0.000 0.167 0.500 [4 per cell]
S: 0.232 0.000 0.728 [4 per cell]
S: 0.248 0.328 0.727 [8 per cell]

Properties
ΔE_f (raw)	-1.830	eV/atom

---

No. 5
Computed, not measured: crystalline NaNd4Er3S8 at its relaxed geometry at the PBE level of DFT.

a b c (Å): 7.9203 7.9203 19.7418
angles (deg): 90.00 90.00 120.00
Space group R-3m (No. 166, hexagonal axes)
Inequivalent atoms, fractional coordinates:
Na: 0.0000 0.0000 0.0000 [3 per cell]
Nd: 0.0000 0.0000 0.5000 [3 per cell]
Nd: 0.0000 0.5000 0.5000 [9 per cell]
Er: 0.0000 0.5000 0.0000 [9 per cell]
S: 0.0000 0.0000 0.2564 [6 per cell]
S: 0.0034 0.5017 0.2557 [18 per cell]

Properties
ΔE_f (raw)	-1.947	eV/atom

---

No. 6
Computed, not measured: crystalline Na4NdEr3S8 at its relaxed geometry at the PBE level of DFT.

a b c (Å): 7.9931 7.9931 20.0514
angles (deg): 90.00 90.00 120.00
Space group R-3m (No. 166, hexagonal axes)
Inequivalent atoms, fractional coordinates:
Na: 0.0000 0.0000 0.0000 [3 per cell]
Na: 0.0000 0.5000 0.0000 [9 per cell]
Nd: 0.0000 0.0000 0.5000 [3 per cell]
Er: 0.0000 0.5000 0.5000 [9 per cell]
S: 0.0000 0.0000 0.2412 [6 per cell]
S: 0.0093 0.5046 0.7574 [18 per cell]

Properties
ΔE_f (raw)	-1.834	eV/atom

---

No. 7
Computed, not measured: crystalline Na3Nd2ErS6 at its relaxed geometry at the PBE level of DFT.

a b c (Å): 7.054 12.218 7.096
angles (deg): 90.00 109.37 90.00
Space group C2/m (No. 12)
Inequivalent atoms, fractional coordinates:
Na: 0.000 0.000 0.000 [2 per cell]
Na: 0.000 0.334 0.000 [4 per cell]
Nd: 0.000 0.167 0.500 [4 per cell]
Er: 0.000 0.500 0.500 [2 per cell]
S: 0.238 0.338 0.731 [8 per cell]
S: 0.246 0.500 0.271 [4 per cell]

Properties
ΔE_f (raw)	-1.810	eV/atom

---

No. 8
Computed, not measured: crystalline Na4Nd3ErS8 at its relaxed geometry at the PBE level of DFT.

a b c (Å): 8.1756 8.1756 20.0962
angles (deg): 90.00 90.00 120.00
Space group R-3m (No. 166, hexagonal axes)
Inequivalent atoms, fractional coordinates:
Na: 0.0000 0.0000 0.0000 [3 per cell]
Na: 0.0000 0.5000 0.0000 [9 per cell]
Nd: 0.0000 0.5000 0.5000 [9 per cell]
Er: 0.0000 0.0000 0.5000 [3 per cell]
S: 0.0000 0.0000 0.2449 [6 per cell]
S: 0.0095 0.5048 0.2432 [18 per cell]

Properties
ΔE_f (raw)	-1.804	eV/atom

---

Summary of energy in eV/atom
-3.61; -3.74; -5.88; -5.38; -6.14; -5.38; -5.38; -5.38
(order as listed above)
Summary of N(E_F) in states/eV/cell
17.64; 15.10; 2.56; 0.00; 24.17; 0.00; 0.00; 0.00
(order as listed above)